An optimized crystal structure of AlCuAg2, computed with GGA-PBE.

```
data_AlCuAg2
_chemical_formula_sum 'Al2 Cu2 Ag4'
_space_group_name_H-M_alt 'I -4 m 2'
_space_group_IT_number 119
_space_group_name_Hall 'I -4 -2'
_cell_length_a 3.902
_cell_length_b 3.902
_cell_length_c 8.243
_cell_angle_alpha 90.00
_cell_angle_beta 90.00
_cell_angle_gamma 90.00
loop_
_atom_site_label
_atom_site_type_symbol
_atom_site_fract_x
_atom_site_fract_y
_atom_site_fract_z
_atom_site_occupancy
Al1 Al 0.000 0.000 0.000 1
Cu1 Cu 0.000 0.500 0.750 1
Ag1 Ag 0.000 0.000 0.500 1
Ag2 Ag 0.000 0.500 0.250 1
```

Calculated values
**DFT total energy**: -3.42 eV per atom
**Energy relative to the elements**: -0.1 eV per formula unit